DFT (PBE) results for crystalline PmPbCl at its relaxed geometry.

```
PmPbCl
1.0
4.961 0.000 0.000
-2.481 4.297 0.000
0.000 0.000 3.989
Pm Pb Cl
1 1 1
Cartesian
0.000 0.000 0.000
2.481 1.432 1.995
0.000 2.864 0.000
```

Summary:
Calculated density, g/cm3: 7.57
Raw formation energy, eV per atom: -0.8091
M_tot, μB/f.u.: 0.21
E above lowest polymorph, kcal/mol of atoms: 5.75